[1]
Entry from Alexandria: crystalline LaTmMgSc at its relaxed geometry (PBE).

The structure in CIF format:
```
data_LaTmMgSc
_symmetry_space_group_name_H-M 'P 1'
_symmetry_Int_Tables_number 1
_symmetry_space_group_name_Hall 'P 1'
_cell_length_a 5.459
_cell_length_b 5.459
_cell_length_c 5.459
_cell_angle_alpha 60.00
_cell_angle_beta 60.00
_cell_angle_gamma 60.00
loop_
_atom_site_label
_atom_site_fract_x
_atom_site_fract_y
_atom_site_fract_z
La1 0.000 0.000 0.000
Tm1 0.500 0.500 0.500
Mg1 0.750 0.750 0.750
Sc1 0.250 0.250 0.250
```

Properties
- Energy of formation from the pure elements: 10 kJ/mol of formula units

---

[2]
Entry from Alexandria: crystalline Cu5Pd2Pt5 at its relaxed geometry (PBE).

The structure in CIF format:
```
data_Cu5Pd2Pt5
_symmetry_space_group_name_H-M 'P 1'
_symmetry_Int_Tables_number 1
_symmetry_space_group_name_Hall 'P 1'
_cell_length_a 6.049
_cell_length_b 6.049
_cell_length_c 8.639
_cell_angle_alpha 114.90
_cell_angle_beta 114.90
_cell_angle_gamma 37.08
loop_
_atom_site_label
_atom_site_fract_x
_atom_site_fract_y
_atom_site_fract_z
Cu1 0.000 0.000 0.000
Cu2 0.169 0.169 0.498
Cu3 0.249 0.249 0.254
Cu4 0.751 0.751 0.746
Cu5 0.831 0.831 0.502
Pd1 0.086 0.086 0.746
Pd2 0.914 0.914 0.254
Pt1 0.336 0.336 0.000
Pt2 0.408 0.408 0.743
Pt3 0.500 0.500 0.500
Pt4 0.592 0.592 0.257
Pt5 0.664 0.664 0.000
```

Properties
- Energy of formation from the pure elements: -124 kJ/mol of formula units

---

[3]
Entry from Alexandria: crystalline Cs2RbSr2 at its relaxed geometry (PBE).

The structure in CIF format:
```
data_Cs2RbSr2
_symmetry_space_group_name_H-M 'P 1'
_symmetry_Int_Tables_number 1
_symmetry_space_group_name_Hall 'P 1'
_cell_length_a 13.443
_cell_length_b 13.443
_cell_length_c 4.651
_cell_angle_alpha 90.00
_cell_angle_beta 90.00
_cell_angle_gamma 90.00
loop_
_atom_site_label
_atom_site_fract_x
_atom_site_fract_y
_atom_site_fract_z
Cs1 0.179 0.321 0.000
Cs2 0.321 0.821 0.000
Cs3 0.679 0.179 0.000
Cs4 0.821 0.679 0.000
Rb1 0.000 0.000 0.000
Rb2 0.500 0.500 0.000
Sr1 0.112 0.612 0.500
Sr2 0.388 0.112 0.500
Sr3 0.612 0.888 0.500
Sr4 0.888 0.388 0.500
```

Properties
- Energy of formation from the pure elements: 105 kJ/mol of formula units

---

[4]
Entry from Alexandria: crystalline CsTaBr6 at its relaxed geometry (PBE).

The structure in CIF format:
```
data_CsTaBr6
_symmetry_space_group_name_H-M 'P 1'
_symmetry_Int_Tables_number 1
_symmetry_space_group_name_Hall 'P 1'
_cell_length_a 7.480
_cell_length_b 7.480
_cell_length_c 13.347
_cell_angle_alpha 100.67
_cell_angle_beta 100.67
_cell_angle_gamma 56.63
loop_
_atom_site_label
_atom_site_fract_x
_atom_site_fract_y
_atom_site_fract_z
Cs1 0.099 0.901 0.750
Cs2 0.901 0.099 0.250
Ta1 0.000 0.500 0.000
Ta2 0.500 0.000 0.500
Br1 0.110 0.197 0.536
Br2 0.195 0.381 0.841
Br3 0.197 0.110 0.036
Br4 0.301 0.535 0.105
Br5 0.381 0.195 0.341
Br6 0.465 0.699 0.395
Br7 0.535 0.301 0.605
Br8 0.619 0.805 0.659
Br9 0.699 0.465 0.895
Br10 0.803 0.890 0.964
Br11 0.805 0.619 0.159
Br12 0.890 0.803 0.464
```

Properties
- E_form (uncorrected): -1.179 eV/atom

---

[5]
Entry from Alexandria: crystalline BeFeGe at its relaxed geometry (PBE).

The structure in CIF format:
```
data_BeFeGe
_symmetry_space_group_name_H-M 'P 1'
_symmetry_Int_Tables_number 1
_symmetry_space_group_name_Hall 'P 1'
_cell_length_a 6.397
_cell_length_b 6.397
_cell_length_c 6.397
_cell_angle_alpha 156.38
_cell_angle_beta 156.38
_cell_angle_gamma 33.65
loop_
_atom_site_label
_atom_site_fract_x
_atom_site_fract_y
_atom_site_fract_z
Be1 0.000 0.000 0.000
Fe1 0.829 0.829 0.000
Ge1 0.182 0.182 0.000
```

Properties
- Energy of formation from the pure elements: 152 kJ/mol of formula units

---

[6]
Entry from Alexandria: crystalline BaCeEuSbO6 at its relaxed geometry (PBE).

The structure in CIF format:
```
data_BaCeEuSbO6
_symmetry_space_group_name_H-M 'P 1'
_symmetry_Int_Tables_number 1
_symmetry_space_group_name_Hall 'P 1'
_cell_length_a 6.110
_cell_length_b 6.110
_cell_length_c 6.110
_cell_angle_alpha 60.00
_cell_angle_beta 60.00
_cell_angle_gamma 60.00
loop_
_atom_site_label
_atom_site_fract_x
_atom_site_fract_y
_atom_site_fract_z
Ba1 0.000 0.000 0.000
Ce1 0.250 0.250 0.250
Eu1 0.500 0.500 0.500
Sb1 0.750 0.750 0.750
O1 0.515 0.515 0.985
O2 0.515 0.985 0.515
O3 0.515 0.985 0.985
O4 0.985 0.515 0.515
O5 0.985 0.515 0.985
O6 0.985 0.985 0.515
```

Properties
- E_form (uncorrected): -2.510 eV/atom

---

Which E_tot belongs to each record? In order, -4.305 -5.196 -0.989 -4.021 -5.078 -7.710 eV/atom.